[1]
# BaTe2Mo

An optimized crystal structure of BaTe2Mo (PBE, Alexandria).

Lattice parameters (Å, degrees): 6.7420 6.7420 6.7420 139.59 139.59 58.48
Fractional positions:
Ba  0.0000  0.0000  0.0000
Te  0.5000  0.5000  0.0000
Te  0.7500  0.2500  0.5000
Mo  0.2500  0.7500  0.5000

Properties
**Space-group type**: I-4m2 (119)

=====

[2]
# BaTe2Mo

An optimized crystal structure of BaTe2Mo (PBE, Alexandria).

Lattice parameters (Å, degrees): 4.3444 4.3444 7.5886 90.00 90.00 90.00
Fractional positions:
Ba  0.0000  0.0000  0.0000
Te  0.0000  0.0000  0.4527
Te  0.5000  0.5000  0.8316
Mo  0.5000  0.5000  0.4685

Properties
**Space-group type**: P4mm (99)

=====

[3]
# BaTeMo2

An optimized crystal structure of BaTeMo2 (PBE, Alexandria).

Lattice parameters (Å, degrees): 6.2915 6.2915 6.2915 149.08 123.42 65.88
Fractional positions:
Ba  0.0000  0.0000  0.0000
Te  0.7038  0.2038  0.5000
Mo  0.3057  0.8057  0.5000
Mo  0.4666  0.4666  0.0000

Properties
**Space-group type**: Imm2 (44)

=====

Number 1: formation energy from raw total energies 87 meV/atom. Number 2: formation energy from raw total energies -180 meV/atom. Number 3: formation energy from raw total energies 583 meV/atom.